Version 1
The following is a DFT calculation (GGA-PBE) of a relaxed structure of Rb2ZrBi2.

Results
**Space group**: No. 72
**Density of states at the Fermi level**: 0.63 states/eV per cell
**Crystal system**: orthorhombic

Cell and atoms, written as extended XYZ:
```
10
Lattice="6.8375 0.0000 2.9181 1.8763 7.7965 5.0733 0.0233 1.1829 9.4151" Properties=species:S:1:pos:R:3 pbc="T T T"
Rb 3.0049 3.5778 11.8986
Rb 5.7322 5.4016 5.5079
Rb 1.0544 0.9078 6.9991
Rb 7.6827 8.0716 10.4074
Zr 2.6592 4.4897 7.9737
Zr 6.0779 4.4897 9.4328
Bi 1.8213 4.7865 5.2022
Bi 6.9158 4.1929 12.2043
Bi 4.1955 6.6859 9.1087
Bi 4.5416 2.2935 8.2978
```

Version 2
The following is a DFT calculation (GGA-PBE) of a relaxed structure of Rb2ZrBi2.

Results
**Space group**: No. 127
**Density of states at the Fermi level**: 5.50 states/eV per cell
**Crystal system**: tetragonal

Cell and atoms, written as extended XYZ:
```
10
Lattice="-2.0224 7.5944 1.1217 -5.6734 -0.6972 -5.5091 -4.0860 -1.7422 4.4282" Properties=species:S:1:pos:R:3 pbc="T T T"
Rb -6.1483 -0.0826 -1.2638
Rb -8.1257 3.5959 -1.6411
Rb -5.6334 5.2377 1.3045
Rb -3.6561 1.5592 1.6818
Bi -5.5297 2.0650 -4.2899
Bi -5.4070 6.0015 -2.6280
Bi -2.1661 4.8323 -0.0976
Bi -2.2888 0.8957 -1.7595
Zr 0.0000 0.0000 0.0000
Zr -3.8479 3.4486 -2.1937
```

Which structure is the least stable? The one labeled version 2.

Version 1
The following is a DFT calculation (GGA-PBE) of a relaxed structure of Re2BiRu.

Results
**Space group**: No. 122
**Density of states at the Fermi level**: 11.74 states/eV per cell
**Crystal system**: tetragonal

Cell and atoms, written as extended XYZ:
```
8
Lattice="-2.3241 -1.1052 -5.2828 -4.4022 -2.9395 2.5516 -6.4692 2.9183 -1.0328" Properties=species:S:1:pos:R:3 pbc="T T T"
Re -3.5063 -0.2745 -2.9822
Re -4.7731 -1.2999 0.4174
Re -7.5900 0.5280 -1.6737
Re -10.5218 -1.2063 -3.2894
Bi 0.0000 0.0000 0.0000
Bi -6.0782 -0.1046 -3.8406
Ru -3.3632 -2.0223 -1.3656
Ru -7.1173 -1.0217 0.0767
```

Version 2
The following is a DFT calculation (GGA-PBE) of a relaxed structure of Re2BiRu.

Results
**Space group**: No. 225
**Density of states at the Fermi level**: 5.38 states/eV per cell
**Crystal system**: cubic

Cell and atoms, written as extended XYZ:
```
4
Lattice="-2.4309 -2.4230 3.0173 -3.9095 -1.9873 -1.2848 -0.2341 -4.5481 -0.3801" Properties=species:S:1:pos:R:3 pbc="T T T"
Re -1.6436 -2.2396 0.3381
Re -4.9309 -6.7188 1.0143
Bi -3.2873 -4.4792 0.6762
Ru 0.0000 0.0000 0.0000
```

Which structure is the least stable? The one labeled version 1.

Version 1
The following is a DFT calculation (GGA-PBE) of a relaxed structure of Re2BiS.

Results
**Space group**: No. 122
**Density of states at the Fermi level**: 7.86 states/eV per cell
**Crystal system**: tetragonal

Cell and atoms, written as extended XYZ:
```
8
Lattice="4.5517 0.0000 0.0000 0.0000 4.5517 0.0000 2.2759 2.2759 7.9146" Properties=species:S:1:pos:R:3 pbc="T T T"
Re 2.9095 1.1379 1.9786
Re 1.6422 3.4138 1.9786
Re 3.4138 3.9180 5.9359
Re 5.6896 5.1854 5.9359
S 2.2759 2.2759 0.0000
S 2.2759 4.5517 3.9573
Bi 0.0000 0.0000 0.0000
Bi 4.5517 2.2759 3.9573
```

Version 2
The following is a DFT calculation (GGA-PBE) of a relaxed structure of Re2BiS.

Results
**Space group**: No. 225
**Density of states at the Fermi level**: 2.73 states/eV per cell
**Crystal system**: cubic

Cell and atoms, written as extended XYZ:
```
4
Lattice="0.7789 -4.2939 1.3660 -2.7601 -3.3746 -1.3800 1.5117 -3.1119 -2.9902" Properties=species:S:1:pos:R:3 pbc="T T T"
Re -0.1174 -2.6951 -0.7510
Re -0.3521 -8.0853 -2.2531
S 0.0000 0.0000 0.0000
Bi -0.2347 -5.3902 -1.5020
```

Which structure is the least stable? The one labeled version 2.

Version 1
The following is a DFT calculation (GGA-PBE) of a relaxed structure of Re3BiS.

Results
**Space group**: No. 221
**Density of states at the Fermi level**: 5.31 states/eV per cell
**Crystal system**: cubic

Cell and atoms, written as extended XYZ:
```
5
Lattice="-2.1851 2.3936 3.1109 1.4471 -2.8183 3.1850 3.6486 2.5513 0.5998" Properties=species:S:1:pos:R:3 pbc="T T T"
Re 0.7236 -1.4092 1.5925
Re 1.8243 1.2757 0.2999
Re -1.0926 1.1968 1.5554
S 0.0000 0.0000 0.0000
Bi 1.4553 1.0633 3.4478
```

Version 2
The following is a DFT calculation (GGA-PBE) of a relaxed structure of Re3BiS.

Results
**Space group**: No. 221
**Density of states at the Fermi level**: 7.36 states/eV per cell
**Crystal system**: cubic

Cell and atoms, written as extended XYZ:
```
5
Lattice="5.0261 0.0000 0.0000 0.0000 5.0261 0.0000 0.0000 0.0000 5.0261" Properties=species:S:1:pos:R:3 pbc="T T T"
Re 0.0000 2.5131 0.0000
Re 0.0000 0.0000 2.5131
Re 2.5131 0.0000 0.0000
S 2.5131 2.5131 2.5131
Bi 0.0000 0.0000 0.0000
```

Which structure is the least stable? The one labeled version 2.

Version 1
The following is a DFT calculation (GGA-PBE) of a relaxed structure of ReBi3S.

Results
**Space group**: No. 221
**Density of states at the Fermi level**: 3.98 states/eV per cell
**Crystal system**: cubic

Cell and atoms, written as extended XYZ:
```
5
Lattice="5.2771 0.0000 0.0000 0.0000 5.2771 0.0000 0.0000 0.0000 5.2771" Properties=species:S:1:pos:R:3 pbc="T T T"
Re 2.6385 2.6385 2.6385
S 0.0000 0.0000 0.0000
Bi 0.0000 2.6385 0.0000
Bi 0.0000 0.0000 2.6385
Bi 2.6385 0.0000 0.0000
```

Version 2
The following is a DFT calculation (GGA-PBE) of a relaxed structure of ReBi3S.

Results
**Space group**: No. 221
**Density of states at the Fermi level**: 4.61 states/eV per cell
**Crystal system**: cubic

Cell and atoms, written as extended XYZ:
```
5
Lattice="5.2941 0.0000 0.0000 0.0000 5.2941 0.0000 0.0000 0.0000 5.2941" Properties=species:S:1:pos:R:3 pbc="T T T"
Re 0.0000 0.0000 0.0000
S 2.6471 2.6471 2.6471
Bi 0.0000 2.6471 0.0000
Bi 0.0000 0.0000 2.6471
Bi 2.6471 0.0000 0.0000
```

Which structure is the least stable? The one labeled version 1.

Version 1
The following is a DFT calculation (GGA-PBE) of a relaxed structure of ScReBi3.

Results
**Space group**: No. 221
**Density of states at the Fermi level**: 7.79 states/eV per cell
**Crystal system**: cubic

Cell and atoms, written as extended XYZ:
```
5
Lattice="5.3603 0.0000 0.0000 0.0000 5.3603 0.0000 0.0000 0.0000 5.3603" Properties=species:S:1:pos:R:3 pbc="T T T"
Sc 2.6801 2.6801 2.6801
Re 0.0000 0.0000 0.0000
Bi 0.0000 2.6801 0.0000
Bi 0.0000 0.0000 2.6801
Bi 2.6801 0.0000 0.0000
```

Version 2
The following is a DFT calculation (GGA-PBE) of a relaxed structure of ScReBi3.

Results
**Space group**: No. 221
**Density of states at the Fermi level**: 3.39 states/eV per cell
**Crystal system**: cubic

Cell and atoms, written as extended XYZ:
```
5
Lattice="-4.4585 -3.0472 1.1539 2.8712 -2.7495 3.8329 -1.5405 3.6945 3.8043" Properties=species:S:1:pos:R:3 pbc="T T T"
Sc 0.0000 0.0000 0.0000
Re -1.5639 -1.0511 4.3955
Bi 1.4356 -1.3748 1.9165
Bi -0.7703 1.8473 1.9021
Bi -2.2292 -1.5236 0.5770
```

Which structure is the least stable? The one labeled version 2.